Entry 1:
AcPr2Mg4 after structural relaxation, computed with GGA-PBE.

Results
Calculated formation energy in eV/atom: 0.234
Space group: No. 139
D(E_F) in states/eV per cell: 10.28

Geometry as POSCAR:
```
AcPr2Mg4
1.0
-3.1133 3.1133 5.9762
3.1133 -3.1133 5.9762
3.1133 3.1133 -5.9762
Ac Pr Mg
1 2 4
direct
0.0000 0.0000 0.0000 Ac
0.3598 0.3598 0.0000 Pr
0.6402 0.6402 0.0000 Pr
0.0000 0.5000 0.5000 Mg
0.2500 0.7500 0.5000 Mg
0.5000 0.0000 0.5000 Mg
0.7500 0.2500 0.5000 Mg
```

=====

Entry 2:
Tb2Pm8Th after structural relaxation, computed with GGA-PBE.

Results
ΔE to the lowest computed polymorph in meV per atom: 0
Calculated formation energy in eV/atom: 0.030
Space group: No. 12
D(E_F) in states/eV per cell: 16.33

Geometry as POSCAR:
```
Tb2Pm8Th
1.0
9.2530 -2.5651 0.0000
9.2530 2.5651 0.0000
-2.1389 0.0000 7.8363
Tb Pm Th
2 8 1
direct
0.2279 0.2279 0.1354 Tb
0.7721 0.7721 0.8646 Tb
0.0450 0.0450 0.2336 Pm
0.1352 0.1352 0.6809 Pm
0.3197 0.3197 0.5904 Pm
0.4089 0.4089 0.0480 Pm
0.5911 0.5911 0.9520 Pm
0.6803 0.6803 0.4096 Pm
0.8648 0.8648 0.3191 Pm
0.9550 0.9550 0.7664 Pm
0.5000 0.5000 0.5000 Th
```

=====

Entry 3:
NdLuMgAu after structural relaxation, computed with GGA-PBE.

Results
Calculated formation energy in eV/atom: -0.382
Space group: No. 216
D(E_F) in states/eV per cell: 3.18

Geometry as POSCAR:
```
NdLuMgAu
1.0
0.0000 3.7006 3.7006
3.7006 0.0000 3.7006
3.7006 3.7006 0.0000
Nd Lu Mg Au
1 1 1 1
direct
0.0000 0.0000 0.0000 Nd
0.5000 0.5000 0.5000 Lu
0.2500 0.2500 0.2500 Mg
0.7500 0.7500 0.7500 Au
```

=====

Question: What is the D(E_F) in the second record?
Answer: 16.33 states/eV per cell

=====

Question: Which formula does entry 2 have?
Answer: Tb2Pm8Th